# 1
Material: SrTbAu
Method: DFT, GGA-PBE
State: relaxed

Geometry as POSCAR:
```
SrTbAu
1.0
-1.888 1.888 6.657
1.888 -1.888 6.657
1.888 1.888 -6.657
Sr Tb Au
1 1 1
direct
0.000 0.000 0.000
0.268 0.268 0.000
0.666 0.666 0.000
```

Calculated values
Space group ... I4mm
Formation energy ... -504 meV/atom
D(E_F) ... 2.05 states/eV/cell
DFT total energy ... -3.701 eV per atom

=====

# 2
Material: SrTb2Au
Method: DFT, GGA-PBE
State: relaxed

Geometry as POSCAR:
```
SrTb2Au
1.0
2.424 1.400 6.802
-2.424 1.400 6.802
0.000 -2.799 6.802
Sr Tb Au
1 2 1
direct
0.000 0.000 0.000
0.552 0.552 0.552
0.786 0.786 0.786
0.171 0.171 0.171
```

Calculated values
Space group ... R3m
Formation energy ... -205 meV/atom
D(E_F) ... 3.95 states/eV/cell
Distance to the lowest polymorph of the same formula ... 21 meV/atom
DFT total energy ... -3.760 eV per atom

=====

# 3
Material: SrTb2Au
Method: DFT, GGA-PBE
State: relaxed

Geometry as POSCAR:
```
SrTb2Au
1.0
1.989 1.148 10.324
-1.989 1.148 10.324
0.000 -2.297 10.324
Sr Tb Au
1 2 1
direct
0.000 0.000 0.000
0.226 0.226 0.226
0.774 0.774 0.774
0.500 0.500 0.500
```

Calculated values
Space group ... R-3m
Formation energy ... -226 meV/atom
D(E_F) ... 5.10 states/eV/cell
Distance to the lowest polymorph of the same formula ... 0 meV/atom
DFT total energy ... -3.781 eV per atom